No. 1
This record from the Alexandria database describes an optimized crystal structure of KY. The functional is GGA-PBE.

Structure (POSCAR):
```
KY
1.0
3.770 0.000 0.000
0.000 3.770 0.000
0.000 0.000 12.859
K Y
2 2
Direct
0.250 0.250 0.156
0.750 0.750 0.844
0.250 0.250 0.587
0.750 0.750 0.413
```

Summary:
total moment: 1.04 μB/cell
ΔE_f: 0.521 eV/f.u.

=====

No. 2
This record from the Alexandria database describes an optimized crystal structure of SiTc2Au2. The functional is GGA-PBE.

Structure (POSCAR):
```
SiTc2Au2
1.0
6.211 0.000 0.000
0.000 6.211 0.000
0.000 0.000 4.339
Si Tc Au
2 4 4
Direct
0.000 0.000 0.000
0.500 0.500 0.000
0.136 0.364 0.000
0.364 0.864 0.000
0.636 0.136 0.000
0.864 0.636 0.000
0.169 0.669 0.500
0.331 0.169 0.500
0.669 0.831 0.500
0.831 0.331 0.500
```

Summary:
total moment: 0.00 μB/cell
E: -63.77 eV/cell

=====

No. 3
This record from the Alexandria database describes an optimized crystal structure of LaSc2Ni. The functional is GGA-PBE.

Structure (POSCAR):
```
LaSc2Ni
1.0
3.277 0.000 0.000
0.000 3.277 0.000
0.000 0.000 8.515
La Sc Ni
1 2 1
Direct
0.000 0.000 0.000
0.500 0.500 0.324
0.500 0.500 0.676
0.000 0.000 0.500
```

Summary:
total moment: 0.00 μB/cell
ΔE_f: -0.808 eV/f.u.
ΔE to the lowest computed polymorph: 0 meV per atom